Entry A
AlPtCl2 | the Alexandria database | PBE | optimized geometry; M_tot = 0.0 μB/f.u.; SG = Pmm2, No. 25
1.0
2.868 0.000 0.000
0.000 3.274 0.000
0.000 0.000 9.471
Al Pt Cl
1 1 2
Cartesian
0.000 0.000 0.000
1.434 1.637 8.140
0.000 0.000 2.146
1.434 1.637 5.700

Entry B
AlPtCl2 | the Alexandria database | PBE | optimized geometry; M_tot = 0.0 μB/f.u.; SG = Fmmm, No. 69
1.0
0.000 3.619 3.648
2.947 0.000 3.648
2.947 3.619 0.000
Al Pt Cl
1 1 2
Cartesian
0.000 0.000 0.000
2.947 3.619 3.648
2.947 1.809 1.824
0.000 1.809 1.824

entry A has the most favorable energy; the next structure is 547 meV/atom above.

Entry A
AlPtCl2 | the Alexandria database | PBE | optimized geometry; M_tot = 0.0 μB/f.u.; SG = P2/m, No. 10
1.0
4.461 0.000 0.000
0.000 3.967 0.000
-0.497 0.000 4.445
Al Pt Cl
1 1 2
Cartesian
0.000 0.000 0.000
1.982 0.000 2.223
0.805 1.984 3.278
3.159 1.984 1.167

Entry B
AlPtCl2 | the Alexandria database | PBE | optimized geometry; M_tot = 0.0 μB/f.u.; SG = Pmmm, No. 47
1.0
3.057 0.000 0.000
0.000 3.762 0.000
0.000 0.000 6.341
Al Pt Cl
1 1 2
Cartesian
0.000 0.000 0.000
0.000 0.000 3.170
1.528 1.881 1.552
1.528 1.881 4.789

entry A has the most favorable energy; the next structure is 409 meV/atom above.

Entry A
AlPtCl2 | the Alexandria database | PBE | optimized geometry; M_tot = 0.0 μB/f.u.; SG = Pmmm, No. 47
1.0
3.062 0.000 0.000
0.000 4.247 0.000
0.000 0.000 5.557
Al Pt Cl
1 1 2
Cartesian
0.000 0.000 0.000
1.531 0.000 2.779
0.000 2.123 2.779
1.531 2.123 0.000

Entry B
AlPtCl2 | the Alexandria database | PBE | optimized geometry; M_tot = 0.0 μB/f.u.; SG = C2/m, No. 12
1.0
7.559 -1.697 0.000
7.559 1.697 0.000
-0.150 0.000 3.845
Al Pt Cl
1 1 2
Cartesian
0.000 0.000 0.000
7.484 0.000 1.923
5.373 0.000 0.929
9.594 0.000 2.917

Entry C
AlPtCl2 | the Alexandria database | PBE | optimized geometry; M_tot = 0.0 μB/f.u.; SG = Imm2, No. 44
1.0
-1.509 3.647 4.610
1.509 -3.647 4.610
1.509 3.647 -4.610
Al Pt Cl
1 1 2
Cartesian
0.000 0.000 0.000
0.000 3.647 2.731
1.509 0.000 1.731
0.000 0.000 5.321

Entry D
AlPtCl2 | the Alexandria database | PBE | optimized geometry; M_tot = 0.0 μB/f.u.; SG = R3m, No. 160
1.0
1.633 0.943 8.643
-1.633 0.943 8.643
0.000 -1.886 8.643
Al Pt Cl
1 1 2
Cartesian
0.000 0.000 0.000
0.000 0.000 18.909
0.000 0.000 7.039
0.000 0.000 12.240

entry D has the most favorable energy; the next structure is 52 meV/atom above.

Entry A
AlPt2Cl | the Alexandria database | PBE | optimized geometry; M_tot = 0.0 μB/f.u.; SG = Cmm2, No. 35
1.0
2.045 -2.050 0.000
2.045 2.050 0.000
0.000 0.000 8.688
Al Pt Cl
1 2 1
Cartesian
0.000 0.000 0.000
0.000 0.000 3.565
2.045 0.000 1.559
2.045 0.000 6.977

Entry B
AlPt2Cl | the Alexandria database | PBE | optimized geometry; M_tot = 0.0 μB/f.u.; SG = Pmm2, No. 25
1.0
2.847 0.000 0.000
0.000 3.716 0.000
0.000 0.000 6.972
Al Pt Cl
1 2 1
Cartesian
0.000 0.000 0.000
0.000 0.000 4.396
1.424 1.858 6.080
1.424 1.858 2.665

entry A has the most favorable energy; the next structure is 70 meV/atom above.

Entry A
AlPt3Cl | the Alexandria database | PBE | optimized geometry; M_tot = 0.0 μB/f.u.; SG = Pm-3m, No. 221
1.0
4.585 0.000 0.000
0.000 4.585 0.000
0.000 0.000 4.585
Al Pt Cl
1 3 1
Cartesian
0.000 0.000 0.000
0.000 2.293 2.293
2.293 0.000 2.293
2.293 2.293 0.000
2.293 2.293 2.293

Entry B
AlPt3Cl | the Alexandria database | PBE | optimized geometry; M_tot = 0.0 μB/f.u.; SG = Pm-3m, No. 221
1.0
4.656 0.000 0.000
0.000 4.656 0.000
0.000 0.000 4.656
Al Pt Cl
1 3 1
Cartesian
0.000 0.000 0.000
0.000 0.000 2.328
0.000 2.328 0.000
2.328 0.000 0.000
2.328 2.328 2.328

entry B has the most favorable energy; the next structure is 287 meV/atom above.

Entry A
Al3PtCl | the Alexandria database | PBE | optimized geometry; M_tot = 0.0 μB/f.u.; SG = Pm-3m, No. 221
1.0
4.812 0.000 0.000
0.000 4.812 0.000
0.000 0.000 4.812
Al Pt Cl
3 1 1
Cartesian
0.000 0.000 2.406
0.000 2.406 0.000
2.406 0.000 0.000
0.000 0.000 0.000
2.406 2.406 2.406

Entry B
Al3PtCl | the Alexandria database | PBE | optimized geometry; M_tot = 0.0 μB/f.u.; SG = Pm-3m, No. 221
1.0
4.627 0.000 0.000
0.000 4.627 0.000
0.000 0.000 4.627
Al Pt Cl
3 1 1
Cartesian
0.000 0.000 2.314
0.000 2.314 0.000
2.314 0.000 0.000
2.314 2.314 2.314
0.000 0.000 0.000

entry A has the most favorable energy; the next structure is 1293 meV/atom above.

Entry A
AlPtS2Cl | the Alexandria database | PBE | optimized geometry; M_tot = 0.0 μB/f.u.; SG = P4/mmm, No. 123
1.0
4.731 0.000 0.000
0.000 4.731 0.000
0.000 0.000 4.902
Al Pt S Cl
1 1 2 1
Cartesian
0.000 0.000 0.000
2.365 2.365 2.451
0.000 2.365 2.451
2.365 0.000 2.451
2.365 2.365 0.000

Entry B
AlPtS2Cl | the Alexandria database | PBE | optimized geometry; M_tot = 0.0 μB/f.u.; SG = P4/mmm, No. 123
1.0
4.694 0.000 0.000
0.000 4.694 0.000
0.000 0.000 4.341
Al Pt S Cl
1 1 2 1
Cartesian
0.000 0.000 0.000
2.347 2.347 2.170
0.000 2.347 0.000
2.347 0.000 0.000
0.000 0.000 2.170

entry A has the most favorable energy; the next structure is 8 meV/atom above.

Entry A
RbAlCl2 | the Alexandria database | PBE | optimized geometry; M_tot = 0.0 μB/f.u.; SG = Fm-3m, No. 225
1.0
0.000 3.852 3.852
3.852 0.000 3.852
3.852 3.852 0.000
Rb Al Cl
1 1 2
Cartesian
0.000 0.000 0.000
3.852 3.852 3.852
1.926 1.926 1.926
5.777 5.777 5.777

Entry B
RbAlCl2 | the Alexandria database | PBE | optimized geometry; M_tot = 0.0 μB/f.u.; SG = R-3m, No. 166
1.0
2.383 1.376 8.910
-2.383 1.376 8.910
0.000 -2.751 8.910
Rb Al Cl
1 1 2
Cartesian
0.000 0.000 0.000
0.000 0.000 13.366
0.000 0.000 2.965
0.000 0.000 23.766

Entry C
RbAlCl2 | the Alexandria database | PBE | optimized geometry; M_tot = 0.0 μB/f.u.; SG = I-42d, No. 122
1.0
-3.364 3.364 7.669
3.364 -3.364 7.669
3.364 3.364 -7.669
Rb Al Cl
2 2 4
Cartesian
0.000 0.000 0.000
0.000 3.364 3.835
3.364 0.000 3.835
0.000 0.000 7.669
1.682 -1.369 5.752
1.996 1.682 1.917
1.682 4.733 -1.917
1.369 1.682 9.586

entry C has the most favorable energy; the next structure is 15 meV/atom above.

Entry A
AlReCl | the Alexandria database | PBE | optimized geometry; M_tot = 0.0 μB/f.u.; SG = P3m1, No. 156
1.0
2.933 0.000 0.000
-1.467 2.540 0.000
0.000 0.000 7.892
Al Re Cl
1 1 1
Cartesian
0.000 0.000 0.000
0.000 1.694 5.955
1.467 0.847 1.695

Entry B
AlReCl | the Alexandria database | PBE | optimized geometry; M_tot = 1.1 μB/f.u.; SG = F-43m, No. 216
1.0
0.000 3.082 3.082
3.082 0.000 3.082
3.082 3.082 0.000
Al Re Cl
1 1 1
Cartesian
0.000 0.000 0.000
1.541 1.541 1.541
4.623 4.623 4.623

entry A has the most favorable energy; the next structure is 1297 meV/atom above.

Entry A
AlReCl | the Alexandria database | PBE | optimized geometry; M_tot = 0.0 μB/f.u.; SG = P-6m2, No. 187
1.0
4.349 0.000 0.000
-2.175 3.766 0.000
0.000 0.000 2.836
Al Re Cl
1 1 1
Cartesian
0.000 0.000 0.000
0.000 2.511 1.418
2.175 1.255 1.418

Entry B
AlReCl | the Alexandria database | PBE | optimized geometry; M_tot = 0.0 μB/f.u.; SG = Fmm2, No. 42
1.0
0.000 2.506 7.892
1.477 0.000 7.892
1.477 2.506 0.000
Al Re Cl
1 1 1
Cartesian
0.000 0.000 0.000
1.477 2.506 9.916
1.477 2.506 6.108

entry B has the most favorable energy; the next structure is 277 meV/atom above.

Entry A
AlReCl | the Alexandria database | PBE | optimized geometry; M_tot = 0.7 μB/f.u.; SG = I4mm, No. 107
1.0
-1.505 1.505 5.854
1.505 -1.505 5.854
1.505 1.505 -5.854
Al Re Cl
1 1 1
Cartesian
0.000 0.000 0.000
0.000 0.000 7.285
0.000 0.000 3.238

Entry B
AlReCl | the Alexandria database | PBE | optimized geometry; M_tot = 0.0 μB/f.u.; SG = Imm2, No. 44
1.0
-1.375 2.016 4.310
1.375 -2.016 4.310
1.375 2.016 -4.310
Al Re Cl
1 1 1
Cartesian
0.000 0.000 0.000
0.000 0.000 2.882
0.000 0.000 6.050

Entry C
AlReCl | the Alexandria database | PBE | optimized geometry; M_tot = 2.3 μB/f.u.; SG = F-43m, No. 216
1.0
0.000 3.084 3.084
3.084 0.000 3.084
3.084 3.084 0.000
Al Re Cl
1 1 1
Cartesian
0.000 0.000 0.000
4.627 4.627 4.627
3.084 3.084 3.084

entry A has the most favorable energy; the next structure is 172 meV/atom above.

Entry A
Al2RhCl | the Alexandria database | PBE | optimized geometry; M_tot = 0.0 μB/f.u.; SG = Immm, No. 71
1.0
-1.534 2.932 4.016
1.534 -2.932 4.016
1.534 2.932 -4.016
Al Rh Cl
2 1 1
Cartesian
0.000 0.000 1.922
0.000 0.000 6.109
1.534 0.000 0.000
0.000 2.932 0.000

Entry B
Al2RhCl | the Alexandria database | PBE | optimized geometry; M_tot = 0.0 μB/f.u.; SG = Pmmm, No. 47
1.0
2.929 0.000 0.000
0.000 4.695 0.000
0.000 0.000 4.720
Al Rh Cl
2 1 1
Cartesian
0.000 0.000 0.000
1.464 2.347 0.000
0.000 2.347 2.360
1.464 0.000 2.360

entry A has the most favorable energy; the next structure is 207 meV/atom above.